#A
## SmTm2Sc (GGA-PBE)

Data for crystalline SmTm2Sc at its relaxed geometry.

- space group = R3m
- V (Å³/f.u.) = 118.2

Cell lengths 11.322, 11.322, 11.322 Å; angles 17.79, 17.79, 17.79 degrees
Fractional coordinates of all 4 atoms:
Sm 0.000 0.000 0.000
Tm 0.247 0.247 0.247
Tm 0.421 0.421 0.421
Sc 0.834 0.834 0.834



#B
## SmTm2Sc (GGA-PBE)

Data for crystalline SmTm2Sc at its relaxed geometry.

- space group = Fm-3m
- V (Å³/f.u.) = 119.4

Cell lengths 5.528, 5.528, 5.528 Å; angles 60.00, 60.00, 60.00 degrees
Fractional coordinates of all 4 atoms:
Sm 0.000 0.000 0.000
Tm 0.250 0.250 0.250
Tm 0.750 0.750 0.750
Sc 0.500 0.500 0.500



#C
## SmTm2Sc (GGA-PBE)

Data for crystalline SmTm2Sc at its relaxed geometry.

- space group = Cm
- V (Å³/f.u.) = 118.2

Cell lengths 3.497, 3.497, 11.343 Å; angles 98.87, 98.87, 59.99 degrees
Fractional coordinates of all 4 atoms:
Sm 0.000 0.000 0.000
Tm 0.423 0.423 0.264
Tm 0.581 0.581 0.740
Sc 0.835 0.835 0.504



#D
## SmTm2Sc (GGA-PBE)

Data for crystalline SmTm2Sc at its relaxed geometry.

- space group = R-3m
- V (Å³/f.u.) = 117.9

Cell lengths 11.419, 11.419, 11.419 Å; angles 17.53, 17.53, 17.53 degrees
Fractional coordinates of all 4 atoms:
Sm 0.000 0.000 0.000
Tm 0.246 0.246 0.246
Tm 0.754 0.754 0.754
Sc 0.500 0.500 0.500



Relative to the most stable one, in eV/atom, the structures come out at #A 0.014; #B 0.121; #C 0.000; #D 0.020.